This record from OQMD describes a geometry-optimized HoBiN2O structure. The functional is GGA-PBE.

Summary:
Its volume is 574.11 Å³ per cell. For the uncorrected energy, the calculation gives -269.1 eV per cell.

Cell lengths 7.665, 8.609, 8.723 Å; angles 86.69, 88.78, 88.00 degrees
Fractional coordinates of all 40 atoms:
Ho 0.000 0.000 0.000
Ho 0.007 0.539 0.091
Ho 0.066 0.522 0.484
Ho 0.074 0.060 0.574
Ho 0.482 0.526 0.082
Ho 0.516 0.977 0.995
Ho 0.558 0.084 0.579
Ho 0.592 0.535 0.493
Bi 0.285 0.306 0.826
Bi 0.293 0.232 0.271
Bi 0.293 0.804 0.324
Bi 0.296 0.742 0.763
Bi 0.777 0.319 0.811
Bi 0.781 0.829 0.303
Bi 0.782 0.257 0.250
Bi 0.788 0.754 0.749
N 0.027 0.812 0.417
N 0.034 0.198 0.801
N 0.039 0.862 0.773
N 0.048 0.247 0.156
N 0.233 0.536 0.910
N 0.319 0.646 0.547
N 0.338 0.024 0.415
N 0.418 0.238 0.034
N 0.527 0.334 0.688
N 0.531 0.346 0.327
N 0.544 0.714 0.248
N 0.547 0.727 0.886
N 0.656 0.822 0.540
N 0.736 0.037 0.159
N 0.754 0.415 0.028
N 0.841 0.524 0.665
O 0.189 0.293 0.505
O 0.228 0.546 0.248
O 0.250 0.901 0.087
O 0.349 0.012 0.757
O 0.724 0.049 0.817
O 0.824 0.157 0.486
O 0.846 0.514 0.327
O 0.884 0.767 0.068

---

This record from OQMD describes a geometry-optimized HoBiN2O structure. The functional is GGA-PBE.

Summary:
Its volume is 290.86 Å³ per cell. For the uncorrected energy, the calculation gives -132.2 eV per cell.

Cell lengths 5.703, 5.982, 10.170 Å; angles 88.46, 73.91, 61.56 degrees
Fractional coordinates of all 20 atoms:
Ho 0.000 0.000 0.000
Ho 0.000 0.485 0.467
Ho 0.395 0.241 0.725
Ho 0.438 0.739 0.246
Bi 0.152 0.887 0.631
Bi 0.216 0.378 0.102
Bi 0.707 0.588 0.851
Bi 0.735 0.110 0.360
N 0.024 0.602 0.681
N 0.051 0.361 0.939
N 0.058 0.851 0.446
N 0.074 0.124 0.203
N 0.350 0.879 0.783
N 0.380 0.637 0.039
N 0.784 0.255 0.723
N 0.839 0.734 0.257
O 0.370 0.122 0.517
O 0.400 0.368 0.277
O 0.603 0.484 0.473
O 0.606 0.013 0.002

---

This record from OQMD describes a geometry-optimized HoBiN2O structure. The functional is GGA-PBE.

Summary:
Its volume is 167.76 Å³ per cell. For the uncorrected energy, the calculation gives -67.9 eV per cell.

Cell lengths 6.176, 6.176, 6.031 Å; angles 118.32, 118.32, 92.10 degrees
Fractional coordinates of all 10 atoms:
Ho 0.153 0.153 0.412
Ho 0.847 0.847 0.588
Bi 0.000 0.500 0.000
Bi 0.500 0.000 0.000
N 0.165 0.835 0.500
N 0.491 0.491 0.095
N 0.509 0.509 0.905
N 0.835 0.165 0.500
O 0.147 0.853 0.000
O 0.853 0.147 0.000

---

This record from OQMD describes a geometry-optimized HoBiN2O structure. The functional is GGA-PBE.

Summary:
Its volume is 147.35 Å³ per cell. For the uncorrected energy, the calculation gives -62.3 eV per cell.

Cell lengths 5.882, 4.018, 6.235 Å; angles 90.00, 90.00, 90.00 degrees
Fractional coordinates of all 10 atoms:
Ho 0.250 0.000 0.188
Ho 0.750 0.000 0.812
Bi 0.250 0.500 0.730
Bi 0.750 0.500 0.270
N 0.000 0.500 0.500
N 0.250 0.000 0.835
N 0.500 0.500 0.500
N 0.750 0.000 0.165
O 0.000 0.500 0.000
O 0.500 0.500 0.000

---

This record from OQMD describes a geometry-optimized HoBiN2O structure. The functional is GGA-PBE.

Summary:
Its volume is 577.97 Å³ per cell. For the uncorrected energy, the calculation gives -270.1 eV per cell.

Cell lengths 9.169, 6.927, 11.891 Å; angles 90.00, 130.07, 90.00 degrees
Fractional coordinates of all 40 atoms:
Ho 0.091 0.009 0.175
Ho 0.091 0.491 0.675
Ho 0.119 0.511 0.182
Ho 0.119 0.989 0.682
Ho 0.881 0.011 0.318
Ho 0.881 0.489 0.818
Ho 0.909 0.509 0.325
Ho 0.909 0.991 0.825
Bi 0.359 0.246 0.101
Bi 0.359 0.254 0.601
Bi 0.361 0.740 0.008
Bi 0.361 0.760 0.508
Bi 0.639 0.240 0.492
Bi 0.639 0.260 0.992
Bi 0.641 0.746 0.399
Bi 0.641 0.754 0.899
N 0.217 0.514 0.023
N 0.217 0.986 0.523
N 0.244 0.019 0.947
N 0.244 0.481 0.447
N 0.355 0.246 0.280
N 0.355 0.254 0.780
N 0.356 0.716 0.824
N 0.356 0.784 0.324
N 0.644 0.216 0.676
N 0.644 0.284 0.176
N 0.645 0.746 0.220
N 0.645 0.754 0.720
N 0.756 0.519 0.553
N 0.756 0.981 0.053
N 0.783 0.014 0.477
N 0.783 0.486 0.977
O 0.015 0.218 0.998
O 0.015 0.282 0.498
O 0.018 0.748 0.766
O 0.018 0.752 0.266
O 0.982 0.248 0.734
O 0.982 0.252 0.234
O 0.985 0.718 0.502
O 0.985 0.782 0.002

---

This record from OQMD describes a geometry-optimized NaHoBi structure. The functional is GGA-PBE.

Summary:
Its volume is 96.69 Å³ per cell. For the uncorrected energy, the calculation gives -10.8 eV per cell.

Cell lengths 5.152, 5.152, 5.152 Å; angles 60.00, 60.00, 60.00 degrees
Fractional coordinates of all 3 atoms:
Na 0.000 0.000 0.000
Ho 0.500 0.500 0.500
Bi 0.750 0.750 0.750